{"formula": "PrZr2FeN4", "functional": "PBE-GGA", "state": "relaxed", "lattice_angstrom": [[-2.3528, 0.5956, -2.2210], [2.3692, -5.1293, -1.4488], [-7.4190, -5.2491, 6.4517]], "species": ["Zr", "Zr", "Zr", "Zr", "N", "N", "N", "N", "N", "N", "N", "N", "Fe", "Fe", "Pr", "Pr"], "frac_coords": [[0.6325, 0.2651, 0.0502], [0.3675, 0.7349, 0.9498], [0.6325, 0.2651, 0.4498], [0.3675, 0.7349, 0.5502], [0.7336, 0.4672, 0.8844], [0.7336, 0.4672, 0.6156], [0.0000, 0.0000, 0.0000], [0.4332, 0.8664, 0.7500], [0.2664, 0.5328, 0.1156], [0.5668, 0.1336, 0.2500], [0.0000, 0.0000, 0.5000], [0.2664, 0.5328, 0.3844], [0.1592, 0.3184, 0.2500], [0.8408, 0.6816, 0.7500], [0.1034, 0.2068, 0.7500], [0.8966, 0.7932, 0.2500]], "total_magnetization_mub_per_cell": 3.84, "e_form_raw_mev_per_atom": -1233, "e_tot_ev_per_cell": -147.0}

=====

{"formula": "FePtN3", "functional": "PBE-GGA", "state": "relaxed", "lattice_angstrom": [[3.8534, 0.0000, 0.0000], [0.0000, 3.8534, 0.0000], [0.0000, 0.0000, 3.8534]], "species": ["Fe", "Pt", "N", "N", "N"], "frac_coords": [[0.5000, 0.5000, 0.5000], [0.0000, 0.0000, 0.0000], [0.0000, 0.0000, 0.5000], [0.0000, 0.5000, 0.0000], [0.5000, 0.0000, 0.0000]], "total_magnetization_mub_per_cell": 0.00, "e_form_raw_mev_per_atom": 2300, "e_tot_ev_per_cell": -28.0}

=====

{"formula": "FePtN3", "functional": "PBE-GGA", "state": "relaxed", "lattice_angstrom": [[-1.5695, 1.3831, 3.0033], [1.4609, -2.6924, 2.0033], [2.9663, 2.0578, 0.6025]], "species": ["N", "N", "N", "Fe", "Pt"], "frac_coords": [[0.0000, 0.5000, 0.0000], [0.0000, 0.0000, 0.5000], [0.5000, 0.0000, 0.0000], [0.0000, 0.0000, 0.0000], [0.5000, 0.5000, 0.5000]], "total_magnetization_mub_per_cell": 0.00, "e_form_raw_mev_per_atom": 1531, "e_tot_ev_per_cell": -31.8}

=====

{"formula": "FePtN2", "functional": "PBE-GGA", "state": "relaxed", "lattice_angstrom": [[2.6012, 1.9299, 5.5019], [3.6492, -0.6181, 5.2022], [4.8229, 1.5255, 3.8954]], "species": ["Pt", "Fe", "N", "N"], "frac_coords": [[0.0000, 0.0000, 0.0000], [0.5000, 0.5000, 0.5000], [0.1072, 0.1072, 0.1072], [0.8928, 0.8928, 0.8928]], "total_magnetization_mub_per_cell": 1.57, "e_form_raw_mev_per_atom": 244, "relative_energy_ev_per_atom": 0.000, "e_tot_ev_per_cell": -30.2}

=====

{"formula": "FePt3N", "functional": "PBE-GGA", "state": "relaxed", "lattice_angstrom": [[4.5617, 0.0000, 0.0000], [0.0000, 4.5617, 0.0000], [0.0000, 0.0000, 4.5617]], "species": ["Fe", "N", "Pt", "Pt", "Pt"], "frac_coords": [[0.0000, 0.0000, 0.0000], [0.5000, 0.5000, 0.5000], [0.5000, 0.0000, 0.0000], [0.0000, 0.0000, 0.5000], [0.0000, 0.5000, 0.0000]], "total_magnetization_mub_per_cell": 3.50, "e_form_raw_mev_per_atom": 2181, "relative_energy_ev_per_atom": 1.583, "e_tot_ev_per_cell": -24.0}

=====

{"formula": "FePtN2", "functional": "PBE-GGA", "state": "relaxed", "lattice_angstrom": [[-1.7560, -2.5421, 5.2222], [1.3605, -2.9619, 5.1180], [0.1752, -0.2043, 6.0617]], "species": ["Pt", "N", "N", "Fe"], "frac_coords": [[0.5000, 0.5000, 0.5000], [0.1070, 0.1070, 0.1070], [0.8930, 0.8930, 0.8930], [0.0000, 0.0000, 0.0000]], "total_magnetization_mub_per_cell": 3.52, "e_form_raw_mev_per_atom": 767, "relative_energy_ev_per_atom": 0.522, "e_tot_ev_per_cell": -28.1}